# PBE CePuMn2, optimized geometry
data_CePuMn2
_symmetry_space_group_name_H-M 'P 4/m m m'
_symmetry_Int_Tables_number 123
_symmetry_space_group_name_Hall '-P 4 2'
_cell_length_a 4.419
_cell_length_b 4.419
_cell_length_c 4.062
_cell_angle_alpha 90.00
_cell_angle_beta 90.00
_cell_angle_gamma 90.00
loop_
_atom_site_label
_atom_site_type_symbol
_atom_site_fract_x
_atom_site_fract_y
_atom_site_fract_z
_atom_site_occupancy
Ce1 Ce 0.000 0.000 0.000 1
Pu1 Pu 0.500 0.500 0.000 1
Mn1 Mn 0.000 0.500 0.500 1
# * formation energy: 0.151 eV/atom